A plane-wave DFT calculation with PBE with a Hubbard U was carried out for Pa2NiO6 after structural relaxation.

Calculated values
D(E_F) ... 0.000 states/eV/atom
Total magnetization ... 4.00 μB per cell
Final energy ... -8.6918 eV per atom

```
Pa2NiO6
1.0
-0.440 -3.196 -4.476
-1.587 -4.119 3.097
-8.722 2.607 -1.002
O Pa Ni
12 4 2
Direct
0.335 0.824 0.500 O
0.338 0.718 0.169 O
0.162 0.219 0.668 O
0.838 0.781 0.332 O
0.165 0.324 0.000 O
0.338 0.719 0.832 O
0.835 0.676 0.000 O
0.662 0.282 0.831 O
0.838 0.782 0.669 O
0.662 0.281 0.168 O
0.162 0.218 0.331 O
0.665 0.176 0.500 O
0.000 0.500 0.807 Pa
0.000 0.500 0.193 Pa
0.500 0.000 0.307 Pa
0.500 0.000 0.693 Pa
0.000 0.000 0.500 Ni
0.500 0.500 0.000 Ni
```